## Ac7Co2Rh2 (PBE-GGA)

Data for a relaxed structure of Ac7Co2Rh2.

E: -58.6 eV for the cell shown

Cell: 7.306 7.306 8.121 Å, 92.32 92.32 114.87°
Fractional coordinates of all 11 atoms:
Ac (0.000, 0.000, 0.000)
Ac (0.053, 0.437, 0.728)
Ac (0.355, 0.355, 0.318)
Ac (0.437, 0.053, 0.728)
Ac (0.563, 0.947, 0.272)
Ac (0.645, 0.645, 0.682)
Ac (0.947, 0.563, 0.272)
Co (0.317, 0.683, 0.500)
Co (0.683, 0.317, 0.500)
Rh (0.336, 0.336, 0.927)
Rh (0.664, 0.664, 0.073)

## Ac4Co2Rh (PBE-GGA)

Data for a relaxed structure of Ac4Co2Rh.

E: -38.9 eV for the cell shown

Cell: 6.876 4.328 7.541 Å, 90.00 102.19 90.00°
Fractional coordinates of all 7 atoms:
Ac (0.083, 0.000, 0.252)
Ac (0.403, 0.500, 0.751)
Ac (0.597, 0.500, 0.249)
Ac (0.917, 0.000, 0.748)
Co (0.339, 0.000, 0.004)
Co (0.661, 0.000, 0.996)
Rh (0.000, 0.500, 0.500)

## Ac4CoRh (PBE-GGA)

Data for a relaxed structure of Ac4CoRh.

E: -32.7 eV for the cell shown

Cell: 7.094 4.316 7.483 Å, 90.00 110.32 90.00°
Fractional coordinates of all 6 atoms:
Ac (0.232, 0.000, 0.236)
Ac (0.235, 0.500, 0.752)
Ac (0.765, 0.500, 0.248)
Ac (0.768, 0.000, 0.764)
Co (0.000, 0.500, 0.000)
Rh (0.000, 0.000, 0.500)

## Ac8Co2Rh (PBE-GGA)

Data for a relaxed structure of Ac8Co2Rh.

E: -56.1 eV for the cell shown

Cell: 7.875 7.875 7.076 Å, 90.51 90.51 65.23°
Fractional coordinates of all 11 atoms:
Ac (0.122, 0.122, 0.160)
Ac (0.134, 0.605, 0.333)
Ac (0.370, 0.370, 0.825)
Ac (0.395, 0.866, 0.667)
Ac (0.605, 0.134, 0.333)
Ac (0.630, 0.630, 0.175)
Ac (0.866, 0.395, 0.667)
Ac (0.878, 0.878, 0.840)
Co (0.229, 0.229, 0.515)
Co (0.771, 0.771, 0.485)
Rh (0.000, 0.000, 0.500)

## Ac2CoRh (PBE-GGA)

Data for a relaxed structure of Ac2CoRh.

E: -23.3 eV for the cell shown

Cell: 3.705 3.705 7.326 Å, 90.00 90.00 90.00°
Fractional coordinates of all 4 atoms:
Ac (0.000, 0.000, 0.249)
Ac (0.000, 0.000, 0.751)
Co (0.500, 0.500, 0.500)
Rh (0.500, 0.500, 0.000)

## Ac2CoSb4Rh3 (PBE-GGA)

Data for a relaxed structure of Ac2CoSb4Rh3.

ΔE_f (raw): -72.9 kJ/mol of atoms

Cell: 4.625 4.625 10.571 Å, 90.00 90.00 90.00°
Fractional coordinates of all 10 atoms:
Ac (0.000, 0.500, 0.243)
Ac (0.500, 0.000, 0.757)
Co (0.500, 0.500, 0.000)
Sb (0.000, 0.000, 0.500)
Sb (0.000, 0.500, 0.875)
Sb (0.500, 0.000, 0.125)
Sb (0.500, 0.500, 0.500)
Rh (0.000, 0.000, 0.000)
Rh (0.000, 0.500, 0.624)
Rh (0.500, 0.000, 0.376)

## AcCoSi3Rh (PBE-GGA)

Data for a relaxed structure of AcCoSi3Rh.

ΔE_f (raw): -53.8 kJ/mol of atoms

Cell: 6.693 6.693 6.113 Å, 90.00 90.00 123.50°
Fractional coordinates of all 12 atoms:
Ac (0.245, 0.755, 0.750)
Ac (0.755, 0.245, 0.250)
Co (0.414, 0.586, 0.250)
Co (0.586, 0.414, 0.750)
Si (0.238, 0.762, 0.250)
Si (0.290, 0.290, 0.000)
Si (0.290, 0.290, 0.500)
Si (0.710, 0.710, 0.000)
Si (0.710, 0.710, 0.500)
Si (0.762, 0.238, 0.750)
Rh (0.050, 0.950, 0.250)
Rh (0.950, 0.050, 0.750)

## AcTmCoRh (PBE-GGA)

Data for a relaxed structure of AcTmCoRh.

E: -24.2 eV for the cell shown

Cell: 4.979 4.979 4.979 Å, 60.00 60.00 60.00°
Fractional coordinates of all 4 atoms:
Ac (0.000, 0.000, 0.000)
Tm (0.500, 0.500, 0.500)
Co (0.750, 0.750, 0.750)
Rh (0.250, 0.250, 0.250)

## Ac2Zn6CoRh (PBE-GGA)

Data for a relaxed structure of Ac2Zn6CoRh.

E: -32.8 eV for the cell shown

Cell: 6.731 6.731 6.731 Å, 120.05 120.05 89.91°
Fractional coordinates of all 10 atoms:
Ac (0.250, 0.750, 0.500)
Ac (0.750, 0.250, 0.500)
Zn (0.243, 0.243, 0.000)
Zn (0.243, 0.243, 0.486)
Zn (0.243, 0.757, 0.000)
Zn (0.757, 0.243, 0.000)
Zn (0.757, 0.757, 0.000)
Zn (0.757, 0.757, 0.514)
Co (0.000, 0.000, 0.000)
Rh (0.500, 0.500, 0.000)

## Ac4Co2Ru (PBE-GGA)

Data for a relaxed structure of Ac4Co2Ru.

E: -39.5 eV for the cell shown

Cell: 6.890 4.314 7.434 Å, 90.00 101.33 90.00°
Fractional coordinates of all 7 atoms:
Ac (0.093, 0.000, 0.258)
Ac (0.391, 0.500, 0.750)
Ac (0.609, 0.500, 0.250)
Ac (0.907, 0.000, 0.742)
Co (0.343, 0.000, 0.014)
Co (0.657, 0.000, 0.986)
Ru (0.000, 0.500, 0.500)

## Ac2CoRu (PBE-GGA)

Data for a relaxed structure of Ac2CoRu.

distance to the lowest polymorph of the same formula: 0.268 eV per atom

Cell: 5.213 5.213 5.213 Å, 60.00 60.00 60.00°
Fractional coordinates of all 4 atoms:
Ac (0.250, 0.250, 0.250)
Ac (0.750, 0.750, 0.750)
Co (0.000, 0.000, 0.000)
Ru (0.500, 0.500, 0.500)

## Ac12Co3Ru5 (PBE-GGA)

Data for a relaxed structure of Ac12Co3Ru5.

E: -450.4 eV for the cell shown

Cell: 15.068 15.068 15.068 Å, 109.47 109.47 109.47°
Fractional coordinates of all 80 atoms:
Ac (0.039, 0.218, 0.126)
Ac (0.039, 0.321, 0.912)
Ac (0.088, 0.626, 0.409)
Ac (0.088, 0.961, 0.679)
Ac (0.091, 0.718, 0.679)
Ac (0.091, 0.874, 0.412)
Ac (0.126, 0.039, 0.218)
Ac (0.126, 0.588, 0.909)
Ac (0.179, 0.218, 0.591)
Ac (0.179, 0.461, 0.588)
Ac (0.218, 0.126, 0.039)
Ac (0.218, 0.591, 0.179)
Ac (0.282, 0.321, 0.909)
Ac (0.282, 0.461, 0.374)
Ac (0.321, 0.909, 0.282)
Ac (0.321, 0.912, 0.039)
Ac (0.374, 0.282, 0.461)
Ac (0.374, 0.591, 0.912)
Ac (0.409, 0.088, 0.626)
Ac (0.409, 0.821, 0.782)
Ac (0.412, 0.091, 0.874)
Ac (0.412, 0.821, 0.539)
Ac (0.461, 0.374, 0.282)
Ac (0.461, 0.588, 0.179)
Ac (0.539, 0.412, 0.821)
Ac (0.539, 0.626, 0.718)
Ac (0.588, 0.179, 0.461)
Ac (0.588, 0.909, 0.126)
Ac (0.591, 0.179, 0.218)
Ac (0.591, 0.912, 0.374)
Ac (0.626, 0.409, 0.088)
Ac (0.626, 0.718, 0.539)
Ac (0.679, 0.088, 0.961)
Ac (0.679, 0.091, 0.718)
Ac (0.718, 0.539, 0.626)
Ac (0.718, 0.679, 0.091)
Ac (0.782, 0.409, 0.821)
Ac (0.782, 0.874, 0.961)
Ac (0.821, 0.539, 0.412)
Ac (0.821, 0.782, 0.409)
Ac (0.874, 0.412, 0.091)
Ac (0.874, 0.961, 0.782)
Ac (0.909, 0.126, 0.588)
Ac (0.909, 0.282, 0.321)
Ac (0.912, 0.039, 0.321)
Ac (0.912, 0.374, 0.591)
Ac (0.961, 0.679, 0.088)
Ac (0.961, 0.782, 0.874)
Co (0.125, 0.250, 0.375)
Co (0.125, 0.375, 0.750)
Co (0.250, 0.375, 0.125)
Co (0.250, 0.875, 0.625)
Co (0.375, 0.125, 0.250)
Co (0.375, 0.750, 0.125)
Co (0.625, 0.250, 0.875)
Co (0.625, 0.875, 0.750)
Co (0.750, 0.125, 0.375)
Co (0.750, 0.625, 0.875)
Co (0.875, 0.625, 0.250)
Co (0.875, 0.750, 0.625)
Ru (0.000, 0.000, 0.000)
Ru (0.000, 0.000, 0.500)
Ru (0.000, 0.500, 0.000)
Ru (0.000, 0.500, 0.500)
Ru (0.125, 0.750, 0.875)
Ru (0.125, 0.875, 0.250)
Ru (0.250, 0.125, 0.875)
Ru (0.250, 0.625, 0.375)
Ru (0.375, 0.250, 0.625)
Ru (0.375, 0.625, 0.750)
Ru (0.500, 0.000, 0.000)
Ru (0.500, 0.000, 0.500)
Ru (0.500, 0.500, 0.000)
Ru (0.500, 0.500, 0.500)
Ru (0.625, 0.375, 0.250)
Ru (0.625, 0.750, 0.375)
Ru (0.750, 0.375, 0.625)
Ru (0.750, 0.875, 0.125)
Ru (0.875, 0.125, 0.750)
Ru (0.875, 0.250, 0.125)

## Ac3CoRu (PBE-GGA)

Data for a relaxed structure of Ac3CoRu.

E: -58.0 eV for the cell shown

Cell: 8.324 4.187 8.946 Å, 90.00 108.18 90.00°
Fractional coordinates of all 10 atoms:
Ac (0.110, 0.250, 0.246)
Ac (0.307, 0.250, 0.940)
Ac (0.365, 0.750, 0.606)
Ac (0.635, 0.250, 0.394)
Ac (0.693, 0.750, 0.060)
Ac (0.890, 0.750, 0.754)
Co (0.037, 0.250, 0.548)
Co (0.963, 0.750, 0.452)
Ru (0.386, 0.750, 0.208)
Ru (0.614, 0.250, 0.792)

## Ac8Co3Ru (PBE-GGA)

Data for a relaxed structure of Ac8Co3Ru.

E: -64.4 eV for the cell shown

Cell: 8.242 8.242 8.223 Å, 117.47 117.47 62.44°
Fractional coordinates of all 12 atoms:
Ac (0.242, 0.746, 0.754)
Ac (0.243, 0.243, 0.257)
Ac (0.254, 0.254, 0.743)
Ac (0.254, 0.758, 0.246)
Ac (0.746, 0.242, 0.754)
Ac (0.746, 0.746, 0.257)
Ac (0.757, 0.757, 0.743)
Ac (0.758, 0.254, 0.246)
Co (0.000, 0.000, 0.000)
Co (0.000, 0.500, 0.500)
Co (0.500, 0.000, 0.500)
Ru (0.500, 0.500, 0.000)

## Ac6Co2Ru (PBE-GGA)

Data for a relaxed structure of Ac6Co2Ru.

E: -48.9 eV for the cell shown

Cell: 9.271 9.271 8.218 Å, 99.68 99.68 26.74°
Fractional coordinates of all 9 atoms:
Ac (0.004, 0.004, 0.244)
Ac (0.329, 0.329, 0.425)
Ac (0.336, 0.336, 0.903)
Ac (0.664, 0.664, 0.097)
Ac (0.671, 0.671, 0.575)
Ac (0.996, 0.996, 0.756)
Co (0.169, 0.169, 0.339)
Co (0.831, 0.831, 0.661)
Ru (0.500, 0.500, 0.000)

## Ac6CoRu (PBE-GGA)

Data for a relaxed structure of Ac6CoRu.

E: -83.5 eV for the cell shown

Cell: 7.174 7.174 13.773 Å, 90.00 90.00 120.00°
Fractional coordinates of all 16 atoms:
Ac (0.008, 0.338, 0.125)
Ac (0.008, 0.670, 0.375)
Ac (0.330, 0.338, 0.375)
Ac (0.330, 0.992, 0.125)
Ac (0.338, 0.008, 0.625)
Ac (0.338, 0.330, 0.875)
Ac (0.662, 0.670, 0.125)
Ac (0.662, 0.992, 0.375)
Ac (0.670, 0.008, 0.875)
Ac (0.670, 0.662, 0.625)
Ac (0.992, 0.330, 0.625)
Ac (0.992, 0.662, 0.875)
Co (0.333, 0.667, 0.250)
Co (0.667, 0.333, 0.750)
Ru (0.000, 0.000, 0.000)
Ru (0.000, 0.000, 0.500)

## Ac12Co4Ru (PBE-GGA)

Data for a relaxed structure of Ac12Co4Ru.

E: -85.9 eV for the cell shown

Cell: 9.414 9.414 9.414 Å, 109.70 109.40 109.32°
Fractional coordinates of all 17 atoms:
Ac (0.022, 0.820, 0.203)
Ac (0.192, 0.316, 0.508)
Ac (0.192, 0.684, 0.876)
Ac (0.319, 0.017, 0.698)
Ac (0.319, 0.621, 0.302)
Ac (0.383, 0.180, 0.203)
Ac (0.617, 0.820, 0.797)
Ac (0.681, 0.379, 0.698)
Ac (0.681, 0.983, 0.302)
Ac (0.808, 0.316, 0.124)
Ac (0.808, 0.684, 0.492)
Ac (0.978, 0.180, 0.797)
Co (0.000, 0.000, 0.500)
Co (0.000, 0.500, 0.000)
Co (0.500, 0.000, 0.000)
Co (0.500, 0.500, 0.500)
Ru (0.500, 0.000, 0.500)

## Ac2CoRu (PBE-GGA)

Data for a relaxed structure of Ac2CoRu.

distance to the lowest polymorph of the same formula: 0.837 eV per atom

Cell: 9.255 9.255 9.255 Å, 25.74 25.74 25.74°
Fractional coordinates of all 4 atoms:
Ac (0.104, 0.104, 0.104)
Ac (0.896, 0.896, 0.896)
Co (0.000, 0.000, 0.000)
Ru (0.500, 0.500, 0.500)

## Ac2CoRu (PBE-GGA)

Data for a relaxed structure of Ac2CoRu.

distance to the lowest polymorph of the same formula: 0.055 eV per atom

Cell: 4.237 6.323 6.323 Å, 40.41 90.00 90.00°
Fractional coordinates of all 4 atoms:
Ac (0.000, 0.000, 0.000)
Ac (0.500, 0.277, 0.277)
Co (0.500, 0.593, 0.593)
Ru (0.000, 0.683, 0.683)

## AcCoRu (PBE-GGA)

Data for a relaxed structure of AcCoRu.

distance to the lowest polymorph of the same formula: 0.000 eV per atom

Cell: 4.146 4.146 4.493 Å, 90.00 90.00 120.00°
Fractional coordinates of all 3 atoms:
Ac (0.000, 0.000, 0.000)
Co (0.667, 0.333, 0.500)
Ru (0.333, 0.667, 0.500)

Number 1: size of the total moment 0.00 μB/f.u.. Number 2: size of the total moment 0.00 μB/f.u.. Number 3: size of the total moment 0.00 μB/f.u.. Number 4: size of the total moment 0.00 μB/f.u.. Number 5: size of the total moment 0.54 μB/f.u.. Number 6: size of the total moment 1.44 μB/f.u.. Number 7: size of the total moment 0.00 μB/f.u.. Number 8: size of the total moment 0.63 μB/f.u.. Number 9: size of the total moment 0.80 μB/f.u.. Number 10: size of the total moment 0.00 μB/f.u.. Number 11: size of the total moment 1.30 μB/f.u.. Number 12: size of the total moment 0.01 μB/f.u.. Number 13: size of the total moment 0.71 μB/f.u.. Number 14: size of the total moment 0.00 μB/f.u.. Number 15: size of the total moment 0.00 μB/f.u.. Number 16: size of the total moment 0.00 μB/f.u.. Number 17: size of the total moment 0.00 μB/f.u.. Number 18: size of the total moment 1.49 μB/f.u.. Number 19: size of the total moment 0.83 μB/f.u.. Number 20: size of the total moment 1.70 μB/f.u..